ReTc2F2 after structural relaxation, computed with PBE.

- SG = P4/mbm, No. 127
- distance to the lowest polymorph of the same formula (meV per atom) = 0.0
- ΔE_f (raw) (eV per atom) = 0.28

a b c (Å): 7.1929 7.1929 2.4883
angles (deg): 90.00 90.00 90.00
Sites, in units of the cell vectors:
Re 0.0000 0.0000 0.0000
Re 0.5000 0.5000 0.0000
Tc 0.1849 0.6849 0.5000
Tc 0.6849 0.8151 0.5000
Tc 0.8151 0.3151 0.5000
Tc 0.3151 0.1849 0.5000
F 0.3900 0.8900 0.0000
F 0.8900 0.6100 0.0000
F 0.6100 0.1100 0.0000
F 0.1100 0.3900 0.0000

***

AcCd8Au4 after structural relaxation, computed with PBE.

- SG = I4/mmm, No. 139
- energy of formation (eV/atom) = -0.2553

a b c (Å): 5.6413 7.6671 7.6671
angles (deg): 82.22 68.41 68.41
Sites, in units of the cell vectors:
Ac 0.0000 0.0000 0.0000
Cd 0.0000 0.3521 0.6479
Cd 0.0000 0.6479 0.3521
Cd 0.3521 0.6479 0.6479
Cd 0.6479 0.3521 0.3521
Cd 0.5000 0.7830 0.2170
Cd 0.5000 0.2170 0.7830
Cd 0.2830 0.2170 0.2170
Cd 0.7170 0.7830 0.7830
Au 0.0000 0.0000 0.5000
Au 0.5000 0.0000 0.5000
Au 0.0000 0.5000 0.0000
Au 0.5000 0.5000 0.0000

***

Mn2InSe after structural relaxation, computed with PBE.

- SG = R-3m, No. 166
- distance to the lowest polymorph of the same formula (meV per atom) = 44.3
- ΔE_f (raw) (eV per atom) = 0.07

a b c (Å): 7.6368 7.6368 7.6368
angles (deg): 26.60 26.60 26.60
Sites, in units of the cell vectors:
In 0.7500 0.7500 0.7500
Mn 0.9896 0.9896 0.9896
Mn 0.5104 0.5104 0.5104
Se 0.2500 0.2500 0.2500

***

BiAuI2O after structural relaxation, computed with PBE.

- SG = P4/mmm, No. 123
- distance to the lowest polymorph of the same formula (meV per atom) = 0.0
- ΔE_f (raw) (eV per atom) = 0.09

a b c (Å): 6.2021 6.2021 4.2686
angles (deg): 90.00 90.00 90.00
Sites, in units of the cell vectors:
I 0.0000 0.5000 0.0000
I 0.5000 0.0000 0.0000
Au 0.5000 0.5000 0.5000
Bi 0.0000 0.0000 0.0000
O 0.0000 0.0000 0.5000

***

no.,electronic total energy (eV per atom)
1,-7.107
2,-2.143
3,-6.070
4,-2.958